# 1
# Ac2P3IrRh12 (GGA-PBE, optimized geometry)
data_Ac2P3IrRh12
_chemical_formula_sum 'Ac6 P9 Ir3 Rh36'
_symmetry_space_group_name_H-M 'R -3 m'
_symmetry_Int_Tables_number 166
_symmetry_space_group_name_Hall '-R 3 2"'
_cell_length_a 8.0849
_cell_length_b 8.0849
_cell_length_c 18.4633
_cell_angle_alpha 90.00
_cell_angle_beta 90.00
_cell_angle_gamma 120.00
loop_
_atom_site_label
_atom_site_type_symbol
_atom_site_fract_x
_atom_site_fract_y
_atom_site_fract_z
Ac1 Ac 0.0000 0.0000 0.1101
P1 P 0.0000 0.5000 0.0000
Ir1 Ir 0.0000 0.0000 0.5000
Rh1 Rh 0.0044 0.5022 0.1214
Rh2 Rh 0.0443 0.5222 0.3632
# DFT total energy, eV per atom: -6.88
# Total moment, Bohr magnetons per cell: 0.0
# Formation energy from the elements, kJ per mole of atoms: -12

# 2
# Cs3ReW (GGA-PBE, optimized geometry)
data_Cs3ReW
_chemical_formula_sum 'Cs3 Re1 W1'
_symmetry_space_group_name_H-M 'P m -3 m'
_symmetry_Int_Tables_number 221
_symmetry_space_group_name_Hall '-P 4 2 3'
_cell_length_a 6.075
_cell_length_b 6.075
_cell_length_c 6.075
_cell_angle_alpha 90.00
_cell_angle_beta 90.00
_cell_angle_gamma 90.00
loop_
_atom_site_label
_atom_site_type_symbol
_atom_site_fract_x
_atom_site_fract_y
_atom_site_fract_z
Cs1 Cs 0.000 0.000 0.500
Re1 Re 0.000 0.000 0.000
W1 W 0.500 0.500 0.500
# DFT total energy, eV per atom: -3.01
# Total moment, Bohr magnetons per cell: 5.7
# Formation energy from the elements, kJ per mole of atoms: 249

# 3
# CrBiCl2 (GGA-PBE, optimized geometry)
data_CrBiCl2
_chemical_formula_sum 'Cr4 Bi4 Cl8'
_symmetry_space_group_name_H-M 'F m -3 m'
_symmetry_Int_Tables_number 225
_symmetry_space_group_name_Hall '-F 4 2 3'
_cell_length_a 7.176
_cell_length_b 7.176
_cell_length_c 7.176
_cell_angle_alpha 90.00
_cell_angle_beta 90.00
_cell_angle_gamma 90.00
loop_
_atom_site_label
_atom_site_type_symbol
_atom_site_fract_x
_atom_site_fract_y
_atom_site_fract_z
Cr1 Cr 0.000 0.000 0.000
Bi1 Bi 0.000 0.000 0.500
Cl1 Cl 0.250 0.250 0.250
# DFT total energy, eV per atom: -4.11
# Formation energy without anion corrections, kJ/mol of atoms: 18.4
# Total moment, Bohr magnetons per cell: 17.2

# 4
# Sm3Ag (GGA-PBE, optimized geometry)
data_Sm3Ag
_chemical_formula_sum 'Sm24 Ag8'
_symmetry_space_group_name_H-M 'I -4'
_symmetry_Int_Tables_number 82
_symmetry_space_group_name_Hall 'I -4'
_cell_length_a 12.439
_cell_length_b 12.439
_cell_length_c 6.212
_cell_angle_alpha 90.00
_cell_angle_beta 90.00
_cell_angle_gamma 90.00
loop_
_atom_site_label
_atom_site_type_symbol
_atom_site_fract_x
_atom_site_fract_y
_atom_site_fract_z
Sm1 Sm 0.032 0.363 0.477
Sm2 Sm 0.075 0.886 0.261
Sm3 Sm 0.180 0.772 0.749
Ag1 Ag 0.043 0.295 0.980
# DFT total energy, eV per atom: -4.31
# Total moment, Bohr magnetons per cell: 0.0
# Formation energy from the elements, kJ per mole of atoms: -6

# 5
# CeEr8Tm5 (GGA-PBE, optimized geometry)
data_CeEr8Tm5
_chemical_formula_sum 'Ce2 Er16 Tm10'
_symmetry_space_group_name_H-M 'I -4'
_symmetry_Int_Tables_number 82
_symmetry_space_group_name_Hall 'I -4'
_cell_length_a 9.434
_cell_length_b 9.434
_cell_length_c 9.820
_cell_angle_alpha 90.00
_cell_angle_beta 90.00
_cell_angle_gamma 90.00
loop_
_atom_site_label
_atom_site_type_symbol
_atom_site_fract_x
_atom_site_fract_y
_atom_site_fract_z
Ce1 Ce 0.000 0.000 0.000
Er1 Er 0.073 0.324 0.096
Er2 Er 0.085 0.171 0.758
Tm1 Tm 0.000 0.500 0.750
Tm2 Tm 0.110 0.213 0.427
# DFT total energy, eV per atom: -4.38
# Total moment, Bohr magnetons per cell: 0.6
# Formation energy from the elements, kJ per mole of atoms: 24

# 6
# Sm4ZnCu3 (GGA-PBE, optimized geometry)
data_Sm4ZnCu3
_chemical_formula_sum 'Sm4 Zn1 Cu3'
_symmetry_space_group_name_H-M 'P m m 2'
_symmetry_Int_Tables_number 25
_symmetry_space_group_name_Hall 'P 2 -2'
_cell_length_a 3.892
_cell_length_b 4.565
_cell_length_c 10.552
_cell_angle_alpha 90.00
_cell_angle_beta 90.00
_cell_angle_gamma 90.00
loop_
_atom_site_label
_atom_site_type_symbol
_atom_site_fract_x
_atom_site_fract_y
_atom_site_fract_z
Sm1 Sm 0.000 0.000 0.000
Sm2 Sm 0.000 0.500 0.275
Sm3 Sm 0.500 0.000 0.486
Sm4 Sm 0.500 0.500 0.777
Zn1 Zn 0.000 0.000 0.705
Cu1 Cu 0.000 0.500 0.566
Cu2 Cu 0.500 0.000 0.204
Cu3 Cu 0.500 0.500 0.069
# DFT total energy, eV per atom: -4.26
# Total moment, Bohr magnetons per cell: 0.0
# Formation energy from the elements, kJ per mole of atoms: -20